Entry 1:
First-principles (GGA-PBE) data for a geometry-optimized DyThPt structure, as listed in Alexandria via LeMat-Bulk.

**DOS at the Fermi energy**: 0.99 states/eV/atom
**Crystal system**: monoclinic
**Symmetry**: No. 11
**ΔH_f (0 K)**: -735.4 meV/atom
**Uncorrected energy**: -6.756 eV/atom

The structure in POSCAR format:
```
DyThPt
1.0
5.117 0.000 -0.312
0.000 5.110 0.000
-2.194 0.000 6.028
Th Dy Pt
2 2 2
direct
0.399 0.250 0.797
0.601 0.750 0.203
0.108 0.250 0.217
0.892 0.750 0.783
0.740 0.250 0.481
0.260 0.750 0.519
```

Entry 2:
First-principles (GGA-PBE) data for a geometry-optimized K2InCl3O structure, as listed in Alexandria via LeMat-Bulk.

**Crystal system**: orthorhombic
**Formation energy (no corrections)**: -1.56 eV/atom
**Symmetry**: No. 71
**Uncorrected energy**: -3.765 eV/atom

The structure in POSCAR format:
```
K2InCl3O
1.0
-3.924 0.280 -0.912
0.040 -5.060 -1.726
-0.019 -0.231 8.955
K In Cl O
2 1 3 1
direct
0.646 0.646 0.292
0.354 0.354 0.708
0.000 0.000 0.000
0.000 0.500 0.000
0.164 0.164 0.327
0.836 0.836 0.673
0.500 0.000 0.000
```